[1]
Here is a relaxed Tb3Sm6Tm2 crystal from Alexandria via LeMat-Bulk. Energies are from PBE-GGA.

It has space group I4/mmm (No. 139), with a = 4.7597 Å, b = 4.7597 Å, c = 33.3844 Å, α = 90.00°, β = 90.00° and γ = 90.00°. Symmetry generates all atoms from Tb at (0.0000, 0.0000, 0.0000), Tb at (0.0000, 0.0000, 0.1986), Sm at (0.0000, 0.0000, 0.3016), Sm at (0.0000, 0.5000, 0.1198) and Tm at (0.0000, 0.0000, 0.4546).

The calculation puts the density of states at the Fermi level at 32.74 states/eV/cell. The calculation puts the size of the total moment at 0.00 μB/cell. The calculation puts the formation energy at 292.1 meV/atom. The value obtained for the total DFT energy (no corrections) is -4.358 eV/atom. The energy above the most stable polymorph in this dataset is 276.1 meV/atom.

[2]
Here is a relaxed Tm2BiPb crystal from Alexandria via LeMat-Bulk. Energies are from PBE-GGA.

It has space group Pnma (No. 62), with a = 8.1916 Å, b = 4.2844 Å, c = 13.7340 Å, α = 90.00°, β = 90.00° and γ = 90.00°. Symmetry generates all atoms from Tm at (0.1797, 0.2500, 0.2300), Tm at (0.1832, 0.7500, 0.9944), Bi at (0.0817, 0.2500, 0.8363) and Pb at (0.0409, 0.7500, 0.5791).

The calculation puts the density of states at the Fermi level at 12.60 states/eV/cell. The calculation puts the size of the total moment at 0.00 μB/cell. The calculation puts the formation energy at -500.9 meV/atom. The value obtained for the total DFT energy (no corrections) is -4.634 eV/atom. The energy above the most stable polymorph in this dataset is 85.2 meV/atom.

Question: total DFT energy (no corrections) of number 2 (Tm2BiPb)?
Answer: -4.634 eV/atom

What did the second record say?
Here is a relaxed Tm2BiPb crystal from Alexandria via LeMat-Bulk. Energies are from PBE-GGA.

It has space group Pnma (No. 62), with a = 8.1916 Å, b = 4.2844 Å, c = 13.7340 Å, α = 90.00°, β = 90.00° and γ = 90.00°. Symmetry generates all atoms from Tm at (0.1797, 0.2500, 0.2300), Tm at (0.1832, 0.7500, 0.9944), Bi at (0.0817, 0.2500, 0.8363) and Pb at (0.0409, 0.7500, 0.5791).

The calculation puts the density of states at the Fermi level at 12.60 states/eV/cell. The calculation puts the size of the total moment at 0.00 μB/cell. The calculation puts the formation energy at -500.9 meV/atom. The value obtained for the total DFT energy (no corrections) is -4.634 eV/atom. The energy above the most stable polymorph in this dataset is 85.2 meV/atom.